A relaxed structure of Sr4LiSm3Te8, computed with PBE-GGA.

## Properties
Energy relative to the elements, uncorrected (eV/atom): -1.52
Crystal system: trigonal
Magnetic moment (μB/atom): 0.000

```
data_Sr4LiSm3Te8
_chemical_formula_sum 'Sr12 Li3 Sm9 Te24'
_symmetry_space_group_name_H-M 'R -3 m'
_symmetry_Int_Tables_number 166
_symmetry_space_group_name_Hall '-R 3 2"'
_cell_length_a 9.1158
_cell_length_b 9.1158
_cell_length_c 22.5868
_cell_angle_alpha 90.00
_cell_angle_beta 90.00
_cell_angle_gamma 120.00
loop_
_atom_site_label
_atom_site_type_symbol
_atom_site_fract_x
_atom_site_fract_y
_atom_site_fract_z
_atom_site_occupancy
Sr1 Sr 0.0000 0.0000 0.0000 1
Sr2 Sr 0.0000 0.5000 0.0000 1
Li1 Li 0.0000 0.0000 0.5000 1
Sm1 Sm 0.0000 0.5000 0.5000 1
Te1 Te 0.0000 0.0000 0.2455 1
Te2 Te 0.0032 0.5016 0.2440 1
```